The following is a PBE calculation of a relaxed CsLaSe2O8 crystal, from the Alexandria database.

extended XYZ file:
```
12
Lattice="5.737 0.000 0.000 -2.869 4.969 0.000 0.000 0.000 9.226" Properties=species:S:1:pos:R:3 pbc="T T T"
Cs 0.000 0.000 0.000
La 0.000 0.000 4.613
Se 0.000 3.312 6.711
Se 2.869 1.656 2.515
O -0.462 1.809 6.114
O -1.070 4.464 6.114
O 0.000 3.312 8.356
O 1.336 1.305 3.112
O 1.533 3.663 6.114
O 2.869 1.656 0.870
O 3.939 0.504 3.112
O 3.331 3.159 3.112
```

Computed properties:
- energy relative to the elements, uncorrected (eV/f.u.) = -18.8
- density (g/cm3) = 3.5